Entry 1:
! PmRh3 (GGA-PBE, relaxed); values from VASP
&SYSTEM
  ibrav = 0, nat = 8, ntyp = 2
/
ATOMIC_SPECIES
Pm 145.00 Pm.upf
Rh 102.91 Rh.upf
CELL_PARAMETERS angstrom
5.928 0.000 0.000
-2.964 5.134 0.000
0.000 0.000 4.613
ATOMIC_POSITIONS angstrom
Pm 0.000 3.422 1.153
Pm 2.964 1.711 3.460
Rh 0.000 1.580 3.460
Rh -1.595 4.343 3.460
Rh 1.369 0.790 1.153
Rh 1.595 4.343 3.460
Rh 4.559 0.790 1.153
Rh 2.964 3.553 1.153
! * SG: P6_3/mmc, No. 194

---

Entry 2:
! Pm3Rh (GGA-PBE, relaxed); values from VASP
&SYSTEM
  ibrav = 0, nat = 16, ntyp = 2
/
ATOMIC_SPECIES
Pm 145.00 Pm.upf
Rh 102.91 Rh.upf
CELL_PARAMETERS angstrom
-5.995 5.995 3.119
5.995 -5.995 3.119
5.995 5.995 -3.119
ATOMIC_POSITIONS angstrom
Pm 4.291 0.000 0.000
Pm 7.698 0.000 0.000
Pm 3.567 3.567 -1.196
Pm 1.120 -1.120 1.563
Pm -1.120 1.120 1.563
Pm 0.000 4.291 0.000
Pm 2.428 -2.428 4.315
Pm 2.428 2.428 1.923
Pm 0.000 7.698 0.000
Pm 4.875 4.875 1.557
Pm 1.120 1.120 4.676
Pm -2.428 2.428 4.315
Rh 5.995 2.378 0.000
Rh 2.378 5.995 0.000
Rh 3.617 0.000 3.119
Rh 0.000 3.617 3.119
! * SG: I-42m, No. 121

---

The evaluated energy relative to the elements for the records listed, in turn: -356 -387 meV/atom.
The evaluated E for the records listed, in turn: -7.057 -5.788 eV per atom.